1.
Na3In2Cu3F12 (GGA-PBE, optimized geometry); DFT total energy = -4.17 eV/atom; space group = Ia-3d (230)
1.0
-6.2835 6.2835 6.2835
6.2835 -6.2835 6.2835
6.2835 6.2835 -6.2835
Na In Cu F
12 8 12 48
direct
0.1250 0.2500 0.3750
0.1250 0.3750 0.7500
0.2500 0.3750 0.1250
0.2500 0.8750 0.6250
0.3750 0.1250 0.2500
0.3750 0.7500 0.1250
0.6250 0.2500 0.8750
0.6250 0.8750 0.7500
0.7500 0.1250 0.3750
0.7500 0.6250 0.8750
0.8750 0.6250 0.2500
0.8750 0.7500 0.6250
0.0000 0.0000 0.0000
0.0000 0.0000 0.5000
0.0000 0.5000 0.0000
0.0000 0.5000 0.5000
0.5000 0.0000 0.0000
0.5000 0.0000 0.5000
0.5000 0.5000 0.0000
0.5000 0.5000 0.5000
0.1250 0.7500 0.8750
0.1250 0.8750 0.2500
0.2500 0.1250 0.8750
0.2500 0.6250 0.3750
0.3750 0.2500 0.6250
0.3750 0.6250 0.7500
0.6250 0.3750 0.2500
0.6250 0.7500 0.3750
0.7500 0.3750 0.6250
0.7500 0.8750 0.1250
0.8750 0.1250 0.7500
0.8750 0.2500 0.1250
0.0447 0.2184 0.1223
0.0447 0.3263 0.9224
0.0776 0.6223 0.4039
0.0776 0.9553 0.6737
0.0961 0.7184 0.6737
0.0961 0.8777 0.4224
0.1223 0.0447 0.2184
0.1223 0.5776 0.9039
0.1737 0.2184 0.5961
0.1737 0.4553 0.5776
0.2184 0.1223 0.0447
0.2184 0.5961 0.1737
0.2816 0.3263 0.9039
0.2816 0.4553 0.3777
0.3263 0.9039 0.2816
0.3263 0.9224 0.0447
0.3777 0.2816 0.4553
0.3777 0.5961 0.9224
0.4039 0.0776 0.6223
0.4039 0.8263 0.7816
0.4224 0.0961 0.8777
0.4224 0.8263 0.5447
0.4553 0.3777 0.2816
0.4553 0.5776 0.1737
0.5447 0.4224 0.8263
0.5447 0.6223 0.7184
0.5776 0.1737 0.4553
0.5776 0.9039 0.1223
0.5961 0.1737 0.2184
0.5961 0.9224 0.3777
0.6223 0.4039 0.0776
0.6223 0.7184 0.5447
0.6737 0.0776 0.9553
0.6737 0.0961 0.7184
0.7184 0.5447 0.6223
0.7184 0.6737 0.0961
0.7816 0.4039 0.8263
0.7816 0.8777 0.9553
0.8263 0.5447 0.4224
0.8263 0.7816 0.4039
0.8777 0.4224 0.0961
0.8777 0.9553 0.7816
0.9039 0.1223 0.5776
0.9039 0.2816 0.3263
0.9224 0.0447 0.3263
0.9224 0.3777 0.5961
0.9553 0.6737 0.0776
0.9553 0.7816 0.8777



2.
Ho3Ge4N (GGA-PBE, optimized geometry); DFT total energy = -4.79 eV/atom; space group = Pm-3m (221)
1.0
5.7362 0.0000 0.0000
0.0000 5.7362 0.0000
0.0000 0.0000 5.7362
Ho Ge N
3 4 1
direct
0.0000 0.0000 0.5000
0.0000 0.5000 0.0000
0.5000 0.0000 0.0000
0.0000 0.0000 0.0000
0.0000 0.5000 0.5000
0.5000 0.0000 0.5000
0.5000 0.5000 0.0000
0.5000 0.5000 0.5000



3.
NdAgI4 (GGA-PBE, optimized geometry); DFT total energy = -3.29 eV/atom; space group = P2/m (10)
1.0
7.6190 0.0000 0.0000
0.0000 4.4611 0.0000
-2.8113 0.0000 7.4352
Nd Ag I
1 1 4
direct
0.0000 0.0000 0.0000
0.5000 0.5000 0.0000
0.2442 0.5000 0.2570
0.2603 0.0000 0.7737
0.7397 0.0000 0.2263
0.7558 0.5000 0.7430



4.
ZrZnAgPd (GGA-PBE, optimized geometry); formation energy from the elements = -346 meV per atom; space group = F-43m (216)
1.0
0.0000 3.2682 3.2682
3.2682 0.0000 3.2682
3.2682 3.2682 0.0000
Zr Zn Ag Pd
1 1 1 1
direct
0.0000 0.0000 0.0000
0.5000 0.5000 0.5000
0.2500 0.2500 0.2500
0.7500 0.7500 0.7500